1.
Compound: ZnGeMo4N2
Source: the Open Quantum Materials Database
Functional: PBE
Structure: optimized geometry

Computed properties:
* calculated volume: 103 Å³ per cell
* E: -66.27 eV per cell
* space group: P-6m2

Cell lengths 2.928, 2.928, 13.936 Å; angles 90.00, 90.00, 120.00 degrees
Fractional coordinates of all 8 atoms:
1 Zn 0.000 0.000 0.000
2 Ge 0.333 0.667 0.500
3 Mo 0.000 0.000 0.349
4 Mo 0.000 0.000 0.651
5 Mo 0.333 0.667 0.158
6 Mo 0.333 0.667 0.842
7 N 0.667 0.333 0.253
8 N 0.667 0.333 0.747

---

2.
Compound: Cs2Ni
Source: the Open Quantum Materials Database
Functional: PBE
Structure: optimized geometry

Computed properties:
* calculated volume: 150 Å³ per cell
* E: -5.27 eV per cell
* space group: R-3m

Cell lengths 7.439, 7.439, 7.439 Å; angles 39.46, 39.46, 39.46 degrees
Fractional coordinates of all 3 atoms:
1 Cs 0.249 0.249 0.249
2 Cs 0.751 0.751 0.751
3 Ni 0.000 0.000 0.000

---

3.
Compound: Rb2AgMoBr6
Source: the Open Quantum Materials Database
Functional: PBE
Structure: optimized geometry

Computed properties:
* calculated volume: 323 Å³ per cell
* E: -35.24 eV per cell
* space group: Fm-3m

Cell lengths 7.703, 7.703, 7.703 Å; angles 60.00, 60.00, 60.00 degrees
Fractional coordinates of all 10 atoms:
1 Rb 0.250 0.250 0.250
2 Rb 0.750 0.750 0.750
3 Ag 0.000 0.000 0.000
4 Mo 0.500 0.500 0.500
5 Br 0.260 0.260 0.740
6 Br 0.260 0.740 0.260
7 Br 0.260 0.740 0.740
8 Br 0.740 0.260 0.260
9 Br 0.740 0.260 0.740
10 Br 0.740 0.740 0.260

---

4.
Compound: TaCl5
Source: the Open Quantum Materials Database
Functional: PBE
Structure: optimized geometry

Computed properties:
* calculated volume: 352 Å³ per cell
* E: -58.20 eV per cell
* space group: P-1

Cell lengths 6.411, 7.022, 9.383 Å; angles 108.94, 90.86, 116.21 degrees
Fractional coordinates of all 12 atoms:
1 Ta 0.105 0.216 0.218
2 Ta 0.895 0.784 0.782
3 Cl 0.071 0.818 0.577
4 Cl 0.115 0.633 0.856
5 Cl 0.232 0.175 0.956
6 Cl 0.300 0.015 0.244
7 Cl 0.434 0.561 0.324
8 Cl 0.566 0.439 0.676
9 Cl 0.700 0.985 0.756
10 Cl 0.768 0.825 0.044
11 Cl 0.885 0.367 0.144
12 Cl 0.929 0.182 0.423

---

5.
Compound: NpICl3
Source: the Open Quantum Materials Database
Functional: PBE
Structure: optimized geometry

Computed properties:
* calculated volume: 374 Å³ per cell
* E: -53.83 eV per cell
* space group: P2_1/m

Cell lengths 6.562, 8.190, 6.958 Å; angles 90.00, 92.06, 90.00 degrees
Fractional coordinates of all 10 atoms:
1 Np 0.003 0.250 0.001
2 Np 0.997 0.750 0.999
3 I 0.285 0.750 0.327
4 I 0.715 0.250 0.673
5 Cl 0.202 0.501 0.844
6 Cl 0.202 0.999 0.844
7 Cl 0.252 0.250 0.280
8 Cl 0.748 0.750 0.720
9 Cl 0.798 0.001 0.156
10 Cl 0.798 0.499 0.156

---

6.
Compound: ErAlSi
Source: the Open Quantum Materials Database
Functional: PBE
Structure: optimized geometry

Computed properties:
* calculated volume: 172 Å³ per cell
* E: -46.19 eV per cell
* space group: P-62m

Cell lengths 6.996, 6.996, 4.063 Å; angles 90.00, 90.00, 120.00 degrees
Fractional coordinates of all 9 atoms:
1 Er 0.000 0.392 0.000
2 Er 0.392 0.000 0.000
3 Er 0.608 0.608 0.000
4 Al 0.000 0.745 0.500
5 Al 0.255 0.255 0.500
6 Al 0.745 0.000 0.500
7 Si 0.000 0.000 0.000
8 Si 0.333 0.667 0.500
9 Si 0.667 0.333 0.500

---

7.
Compound: Cd2AsIr
Source: the Open Quantum Materials Database
Functional: PBE
Structure: optimized geometry

Computed properties:
* calculated volume: 73 Å³ per cell
* E: -14.05 eV per cell
* space group: F-43m

Cell lengths 4.688, 4.688, 4.688 Å; angles 60.00, 60.00, 60.00 degrees
Fractional coordinates of all 4 atoms:
1 Cd 0.000 0.000 0.000
2 Cd 0.250 0.250 0.250
3 As 0.500 0.500 0.500
4 Ir 0.750 0.750 0.750

---

8.
Compound: LuZn2B
Source: the Open Quantum Materials Database
Functional: PBE
Structure: optimized geometry

Computed properties:
* calculated volume: 61 Å³ per cell
* E: -12.93 eV per cell
* space group: F-43m

Cell lengths 4.408, 4.408, 4.408 Å; angles 60.00, 60.00, 60.00 degrees
Fractional coordinates of all 4 atoms:
1 Lu 0.000 0.000 0.000
2 Zn 0.250 0.250 0.250
3 Zn 0.500 0.500 0.500
4 B 0.750 0.750 0.750

---

9.
Compound: BeCuPtPb
Source: the Open Quantum Materials Database
Functional: PBE
Structure: optimized geometry

Computed properties:
* calculated volume: 63 Å³ per cell
* E: -16.44 eV per cell
* space group: F-43m

Cell lengths 4.465, 4.465, 4.465 Å; angles 60.00, 60.00, 60.00 degrees
Fractional coordinates of all 4 atoms:
1 Be 0.000 0.000 0.000
2 Cu 0.500 0.500 0.500
3 Pt 0.750 0.750 0.750
4 Pb 0.250 0.250 0.250

---

10.
Compound: Ta2HgPb
Source: the Open Quantum Materials Database
Functional: PBE
Structure: optimized geometry

Computed properties:
* calculated volume: 85 Å³ per cell
* E: -24.25 eV per cell
* space group: F-43m

Cell lengths 4.929, 4.929, 4.929 Å; angles 60.00, 60.00, 60.00 degrees
Fractional coordinates of all 4 atoms:
1 Ta 0.000 0.000 0.000
2 Ta 0.250 0.250 0.250
3 Hg 0.750 0.750 0.750
4 Pb 0.500 0.500 0.500

---

11.
Compound: Y2Hf4P3N3
Source: the Open Quantum Materials Database
Functional: PBE
Structure: optimized geometry

Computed properties:
* calculated volume: 378 Å³ per cell
* E: -221.66 eV per cell
* space group: C2/c

Cell lengths 6.005, 6.005, 12.576 Å; angles 103.71, 103.71, 59.98 degrees
Fractional coordinates of all 24 atoms:
1 Y 0.036 0.873 0.608
2 Y 0.127 0.964 0.892
3 Y 0.873 0.036 0.108
4 Y 0.964 0.127 0.392
5 Hf 0.202 0.366 0.102
6 Hf 0.297 0.466 0.398
7 Hf 0.366 0.202 0.602
8 Hf 0.466 0.297 0.898
9 Hf 0.534 0.703 0.102
10 Hf 0.634 0.798 0.398
11 Hf 0.703 0.534 0.602
12 Hf 0.798 0.634 0.898
13 P 0.084 0.271 0.752
14 P 0.271 0.084 0.252
15 P 0.436 0.564 0.750
16 P 0.564 0.436 0.250
17 P 0.729 0.916 0.748
18 P 0.916 0.729 0.248
19 N 0.000 0.500 0.500
20 N 0.178 0.644 0.000
21 N 0.356 0.822 0.500
22 N 0.500 0.000 0.000
23 N 0.644 0.178 0.500
24 N 0.822 0.356 0.000

---

12.
Compound: SmHfBe2Ge2
Source: the Open Quantum Materials Database
Functional: PBE
Structure: optimized geometry

Computed properties:
* calculated volume: 100 Å³ per cell
* E: -35.00 eV per cell
* space group: P-3m1

Cell lengths 3.845, 3.845, 7.834 Å; angles 90.00, 90.00, 120.00 degrees
Fractional coordinates of all 6 atoms:
1 Sm 0.000 0.000 0.000
2 Hf 0.000 0.000 0.500
3 Be 0.333 0.667 0.280
4 Be 0.667 0.333 0.720
5 Ge 0.333 0.667 0.733
6 Ge 0.667 0.333 0.267

---

13.
Compound: ReC
Source: the Open Quantum Materials Database
Functional: PBE
Structure: optimized geometry

Computed properties:
* calculated volume: 21 Å³ per cell
* E: -19.73 eV per cell
* space group: Fm-3m

Cell lengths 3.079, 3.079, 3.079 Å; angles 60.00, 60.00, 60.00 degrees
Fractional coordinates of all 2 atoms:
1 Re 0.000 0.000 0.000
2 C 0.500 0.500 0.500

---

14.
Compound: LuGaAu
Source: the Open Quantum Materials Database
Functional: PBE
Structure: optimized geometry

Computed properties:
* calculated volume: 73 Å³ per cell
* E: -11.51 eV per cell
* space group: F-43m

Cell lengths 4.686, 4.686, 4.686 Å; angles 60.00, 60.00, 60.00 degrees
Fractional coordinates of all 3 atoms:
1 Lu 0.000 0.000 0.000
2 Ga 0.250 0.250 0.250
3 Au 0.750 0.750 0.750

---

15.
Compound: TmZnFe
Source: the Open Quantum Materials Database
Functional: PBE
Structure: optimized geometry

Computed properties:
* calculated volume: 67 Å³ per cell
* ΔH_f (0 K): 2.3 eV/f.u.
* space group: F-43m

Cell lengths 4.559, 4.559, 4.559 Å; angles 60.00, 60.00, 60.00 degrees
Fractional coordinates of all 3 atoms:
1 Tm 0.000 0.000 0.000
2 Zn 0.250 0.250 0.250
3 Fe 0.750 0.750 0.750

---

16.
Compound: BeZnInNi
Source: the Open Quantum Materials Database
Functional: PBE
Structure: optimized geometry

Computed properties:
* calculated volume: 55 Å³ per cell
* E: -12.86 eV per cell
* space group: F-43m

Cell lengths 4.260, 4.260, 4.260 Å; angles 60.00, 60.00, 60.00 degrees
Fractional coordinates of all 4 atoms:
1 Be 0.000 0.000 0.000
2 Zn 0.250 0.250 0.250
3 In 0.750 0.750 0.750
4 Ni 0.500 0.500 0.500

---

17.
Compound: AcIn2Pd4
Source: the Open Quantum Materials Database
Functional: PBE
Structure: optimized geometry

Computed properties:
* calculated volume: 141 Å³ per cell
* E: -35.09 eV per cell
* space group: I4/mmm

Cell lengths 5.726, 5.726, 5.726 Å; angles 104.63, 104.63, 119.65 degrees
Fractional coordinates of all 7 atoms:
1 Ac 0.000 0.000 0.000
2 In 0.250 0.750 0.500
3 In 0.750 0.250 0.500
4 Pd 0.302 0.302 0.603
5 Pd 0.302 0.698 0.000
6 Pd 0.698 0.302 0.000
7 Pd 0.698 0.698 0.397

---

18.
Compound: Cs3KAs2Au2
Source: the Open Quantum Materials Database
Functional: PBE
Structure: optimized geometry

Computed properties:
* calculated volume: 294 Å³ per cell
* E: -23.44 eV per cell
* space group: Pm

Cell lengths 6.697, 6.855, 6.772 Å; angles 90.00, 108.80, 90.00 degrees
Fractional coordinates of all 8 atoms:
1 Cs 0.000 0.000 0.000
2 Cs 0.042 0.500 0.346
3 Cs 0.348 0.000 0.661
4 K 0.691 0.500 0.676
5 As 0.305 0.500 0.927
6 As 0.760 0.000 0.420
7 Au 0.525 0.250 0.181
8 Au 0.525 0.750 0.181

---

19.
Compound: UTlZn
Source: the Open Quantum Materials Database
Functional: PBE
Structure: optimized geometry

Computed properties:
* calculated volume: 86 Å³ per cell
* E: -12.40 eV per cell
* space group: F-43m

Cell lengths 4.960, 4.960, 4.960 Å; angles 60.00, 60.00, 60.00 degrees
Fractional coordinates of all 3 atoms:
1 U 0.000 0.000 0.000
2 Tl 0.750 0.750 0.750
3 Zn 0.250 0.250 0.250

---

20.
Compound: Co2PdPt4Se12
Source: the Open Quantum Materials Database
Functional: PBE
Structure: optimized geometry

Computed properties:
* calculated volume: 402 Å³ per cell
* E: -91.02 eV per cell
* space group: C2/m

Cell lengths 6.375, 6.375, 17.803 Å; angles 93.13, 93.13, 33.84 degrees
Fractional coordinates of all 19 atoms:
1 Co 0.056 0.056 0.229
2 Co 0.944 0.944 0.771
3 Pd 0.000 0.000 0.500
4 Pt 0.318 0.318 0.921
5 Pt 0.457 0.457 0.378
6 Pt 0.543 0.543 0.622
7 Pt 0.682 0.682 0.079
8 Se 0.046 0.046 0.095
9 Se 0.096 0.096 0.367
10 Se 0.167 0.167 0.588
11 Se 0.316 0.316 0.780
12 Se 0.321 0.321 0.065
13 Se 0.435 0.435 0.238
14 Se 0.565 0.565 0.762
15 Se 0.679 0.679 0.935
16 Se 0.684 0.684 0.220
17 Se 0.833 0.833 0.412
18 Se 0.904 0.904 0.633
19 Se 0.954 0.954 0.905

---

21.
Compound: TbInB4
Source: the Open Quantum Materials Database
Functional: PBE
Structure: optimized geometry

Computed properties:
* calculated volume: 70 Å³ per cell
* E: -33.75 eV per cell
* space group: P6/mmm

Cell lengths 3.234, 3.234, 7.736 Å; angles 90.00, 90.00, 120.00 degrees
Fractional coordinates of all 6 atoms:
1 Tb 0.000 0.000 0.000
2 In 0.000 0.000 0.500
3 B 0.333 0.667 0.252
4 B 0.333 0.667 0.748
5 B 0.667 0.333 0.252
6 B 0.667 0.333 0.748

---

22.
Compound: LiLaOsW
Source: the Open Quantum Materials Database
Functional: PBE
Structure: optimized geometry

Computed properties:
* calculated volume: 69 Å³ per cell
* E: -27.18 eV per cell
* space group: F-43m

Cell lengths 4.603, 4.603, 4.603 Å; angles 60.00, 60.00, 60.00 degrees
Fractional coordinates of all 4 atoms:
1 Li 0.000 0.000 0.000
2 La 0.500 0.500 0.500
3 Os 0.750 0.750 0.750
4 W 0.250 0.250 0.250

---

23.
Compound: HfCu2TeS2
Source: the Open Quantum Materials Database
Functional: PBE
Structure: optimized geometry

Computed properties:
* calculated volume: 265 Å³ per cell
* E: -66.55 eV per cell
* space group: C2/m

Cell lengths 9.800, 9.800, 7.205 Å; angles 99.53, 99.53, 22.86 degrees
Fractional coordinates of all 12 atoms:
1 Hf 0.138 0.138 0.047
2 Hf 0.862 0.862 0.953
3 Cu 0.207 0.207 0.428
4 Cu 0.456 0.456 0.830
5 Cu 0.544 0.544 0.170
6 Cu 0.793 0.793 0.572
7 Te 0.249 0.249 0.785
8 Te 0.751 0.751 0.215
9 S 0.085 0.085 0.329
10 S 0.420 0.420 0.137
11 S 0.580 0.580 0.863
12 S 0.915 0.915 0.671

---

24.
Compound: AcFeB
Source: the Open Quantum Materials Database
Functional: PBE
Structure: optimized geometry

Computed properties:
* calculated volume: 62 Å³ per cell
* E: -16.91 eV per cell
* space group: F-43m

Cell lengths 4.454, 4.454, 4.454 Å; angles 60.00, 60.00, 60.00 degrees
Fractional coordinates of all 3 atoms:
1 Ac 0.000 0.000 0.000
2 Fe 0.500 0.500 0.500
3 B 0.250 0.250 0.250

---

25.
Compound: LaTb2O4
Source: the Open Quantum Materials Database
Functional: PBE
Structure: optimized geometry

Computed properties:
* calculated volume: 234 Å³ per cell
* E: -113.67 eV per cell
* space group: Fd-3m

Cell lengths 6.921, 6.921, 6.921 Å; angles 60.00, 60.00, 60.00 degrees
Fractional coordinates of all 14 atoms:
1 La 0.125 0.125 0.125
2 La 0.875 0.875 0.875
3 Tb 0.000 0.500 0.500
4 Tb 0.500 0.000 0.500
5 Tb 0.500 0.500 0.000
6 Tb 0.500 0.500 0.500
7 O 0.263 0.263 0.263
8 O 0.263 0.263 0.710
9 O 0.263 0.710 0.263
10 O 0.290 0.737 0.737
11 O 0.710 0.263 0.263
12 O 0.737 0.290 0.737
13 O 0.737 0.737 0.290
14 O 0.737 0.737 0.737